No. 1
The following is a DFT calculation (PBE-GGA) of a geometry-optimized Tm4AlIr structure.

Calculated values
**Total DFT energy (no corrections)**: -5.58 eV per atom
**DOS at the Fermi energy**: 10.1 states/eV per cell
**Formation enthalpy at 0 K**: -495 meV/atom

The structure in POSCAR format:
```
Tm4AlIr
1.0
4.267 -6.427 0.000
4.267 6.427 0.000
-1.838 0.000 5.623
Tm Al Ir
8 2 2
Cartesian
1.576 4.205 5.338
1.325 0.962 3.466
4.200 4.205 3.097
2.244 -0.962 0.655
4.452 0.962 4.968
2.496 -4.205 2.526
5.371 -0.962 2.157
5.120 -4.205 0.286
3.808 1.598 1.406
2.888 -1.598 4.217
3.808 -6.425 1.406
2.888 6.425 4.217
```

---

No. 2
The following is a DFT calculation (PBE-GGA) of a geometry-optimized CaSi2Os structure.

Calculated values
**Total DFT energy (no corrections)**: -5.54 eV per atom
**Formation energy (no corrections)**: 1.93 eV/f.u.
**DOS at the Fermi energy**: 4.1 states/eV per cell

The structure in POSCAR format:
```
CaSi2Os
1.0
0.000 3.210 3.210
3.210 0.000 3.210
3.210 3.210 0.000
Ca Si Os
1 2 1
Cartesian
0.000 0.000 0.000
3.210 3.210 3.210
4.815 4.815 4.815
1.605 1.605 1.605
```

---

No. 3
The following is a DFT calculation (PBE-GGA) of a geometry-optimized Zr2GeHOs structure.

Calculated values
**Total DFT energy (no corrections)**: -7.62 eV per atom
**DOS at the Fermi energy**: 3.4 states/eV per cell

The structure in POSCAR format:
```
Zr2GeHOs
1.0
4.409 0.000 0.000
0.000 4.409 0.000
0.000 0.000 3.870
Zr Ge H Os
2 1 1 1
Cartesian
0.000 2.204 0.000
2.204 0.000 0.000
0.000 0.000 1.935
2.204 2.204 0.000
2.204 2.204 1.935
```

---

No. 4
The following is a DFT calculation (PBE-GGA) of a geometry-optimized KRe2O8 structure.

Calculated values
**Total DFT energy (no corrections)**: -7.19 eV per atom
**Formation energy (no corrections)**: -13.38 eV/f.u.
**DOS at the Fermi energy**: 3.1 states/eV per cell

The structure in POSCAR format:
```
KRe2O8
1.0
3.030 -5.577 0.000
3.030 5.577 0.000
0.000 0.000 3.827
K Re O
1 2 8
Cartesian
0.000 0.000 0.000
3.030 2.268 1.913
3.030 -2.268 1.913
1.167 1.697 1.913
3.030 2.366 0.000
1.167 -1.697 1.913
3.030 0.000 1.207
3.030 0.000 2.619
4.894 1.697 1.913
3.030 -2.366 0.000
4.894 -1.697 1.913
```

---

No. 5
The following is a DFT calculation (PBE-GGA) of a geometry-optimized PmTiOs4 structure.

Calculated values
**Total DFT energy (no corrections)**: -9.64 eV per atom
**DOS at the Fermi energy**: 6.2 states/eV per cell
**Formation enthalpy at 0 K**: -45 meV/atom

The structure in POSCAR format:
```
PmTiOs4
1.0
0.000 3.738 3.738
3.738 0.000 3.738
3.738 3.738 0.000
Pm Ti Os
1 1 4
Cartesian
0.000 0.000 0.000
1.869 1.869 1.869
4.668 2.808 2.808
2.808 4.668 2.808
2.808 2.808 4.668
4.668 4.668 4.668
```

---

No. 6
The following is a DFT calculation (PBE-GGA) of a geometry-optimized KAlPt3 structure.

Calculated values
**Total DFT energy (no corrections)**: -4.53 eV per atom
**DOS at the Fermi energy**: 1.1 states/eV per cell
**Formation enthalpy at 0 K**: 66 meV/atom

The structure in POSCAR format:
```
KAlPt3
1.0
4.730 0.000 0.000
0.000 4.730 0.000
0.000 0.000 4.730
K Al Pt
1 1 3
Cartesian
0.000 0.000 0.000
2.365 2.365 2.365
0.000 2.365 2.365
2.365 0.000 2.365
2.365 2.365 0.000
```

---

No. 7
The following is a DFT calculation (PBE-GGA) of a geometry-optimized PmSmMnZn structure.

Calculated values
**Total DFT energy (no corrections)**: -4.98 eV per atom
**DOS at the Fermi energy**: 5.0 states/eV per cell
**Formation enthalpy at 0 K**: -7 meV/atom

The structure in POSCAR format:
```
PmSmMnZn
1.0
0.000 3.636 3.636
3.636 0.000 3.636
3.636 3.636 0.000
Pm Sm Mn Zn
1 1 1 1
Cartesian
0.000 0.000 0.000
3.636 3.636 3.636
1.818 1.818 1.818
5.455 5.455 5.455
```

---

No. 8
The following is a DFT calculation (PBE-GGA) of a geometry-optimized Y6Ho2Ag structure.

Calculated values
**Total DFT energy (no corrections)**: -5.58 eV per atom
**DOS at the Fermi energy**: 10.1 states/eV per cell
**Formation enthalpy at 0 K**: 65 meV/atom

The structure in POSCAR format:
```
Y6Ho2Ag
1.0
-1.788 5.090 7.614
1.788 -5.090 7.614
1.788 5.090 -7.614
Y Ho Ag
6 2 1
Cartesian
1.788 3.480 -4.844
1.788 2.735 0.000
0.000 1.610 2.770
1.788 3.480 4.844
0.000 2.355 7.614
0.000 1.610 12.458
1.788 0.000 5.511
0.000 5.090 2.103
0.000 0.000 0.000
```

---

No. 9
The following is a DFT calculation (PBE-GGA) of a geometry-optimized BeFe2Ir structure.

Calculated values
**Total DFT energy (no corrections)**: -7.49 eV per atom
**DOS at the Fermi energy**: 3.2 states/eV per cell
**Formation enthalpy at 0 K**: -107 meV/atom

The structure in POSCAR format:
```
BeFe2Ir
1.0
4.217 -1.363 0.000
4.217 1.363 0.000
-1.457 0.000 4.047
Be Fe Ir
1 2 1
Cartesian
0.000 0.000 0.000
1.255 0.000 2.848
3.573 0.000 2.033
5.988 0.000 0.703
```

---

No. 10
The following is a DFT calculation (PBE-GGA) of a geometry-optimized Ce12GeIr6 structure.

Calculated values
**Total DFT energy (no corrections)**: -7.24 eV per atom
**DOS at the Fermi energy**: 56.3 states/eV per cell
**Formation enthalpy at 0 K**: -454 meV/atom

The structure in POSCAR format:
```
Ce12GeIr6
1.0
6.155 3.553 4.052
-6.155 3.553 4.052
0.000 -7.107 4.052
Ce Ge Ir
12 1 6
Cartesian
-5.529 -1.131 6.629
-1.785 -5.354 5.527
-2.442 -0.259 4.787
-3.744 4.223 5.527
1.446 -1.985 4.787
-0.997 -2.245 7.369
0.997 2.245 4.787
-1.446 1.985 7.369
3.744 -4.223 6.629
2.442 0.259 7.369
1.785 5.354 6.629
5.529 1.131 5.527
0.000 0.000 0.000
-1.161 -2.838 4.368
-1.877 2.424 4.368
-3.038 -0.414 7.788
3.038 0.414 4.368
1.877 -2.424 7.788
1.161 2.838 7.788
```

---

No. 11
The following is a DFT calculation (PBE-GGA) of a geometry-optimized PmSmMgSc structure.

Calculated values
**Total DFT energy (no corrections)**: -4.36 eV per atom
**DOS at the Fermi energy**: 6.7 states/eV per cell
**Formation enthalpy at 0 K**: -6 meV/atom

The structure in POSCAR format:
```
PmSmMgSc
1.0
3.660 0.000 0.000
0.000 3.660 0.000
0.000 0.000 8.699
Pm Sm Mg Sc
1 1 1 1
Cartesian
0.000 0.000 0.000
0.000 0.000 4.325
1.830 1.830 2.171
1.830 1.830 6.506
```